Below is Sc2TaSi after structural relaxation, with properties calculated at the PBE level.

For the formation energy (no corrections), the calculation gives -0.101 eV per atom.

The space group is C2/m (No. 12) and the conventional cell measures 5.9495, 8.5136 and 2.9664 Å, with angles of 90.00, 90.23 and 90.00 degrees. The distinct sites, in fractional coordinates, are Sc at (0.2500, 0.2500, 0.0000), Ta at (0.0000, 0.0000, 0.5000) and Si at (0.0000, 0.5000, 0.5000).

Below is ScTaSi3 after structural relaxation, with properties calculated at the PBE level.

The calculation puts the excess energy over the best structure of this formula in the dataset at 0.954 eV/atom. For the formation energy (no corrections), the calculation gives 1.370 eV per atom.

The space group is Pm-3m (No. 221) and the conventional cell measures 4.7016, 4.7016 and 4.7016 Å, with angles of 90.00, 90.00 and 90.00 degrees. The distinct sites, in fractional coordinates, are Sc at (0.0000, 0.0000, 0.0000), Ta at (0.5000, 0.5000, 0.5000) and Si at (0.0000, 0.0000, 0.5000).